Density functional theory data (PBE) for a geometry-optimized NdDyPd4 structure.

Values from the calculation:
The calculation puts the energy at -5.5902 eV/atom. As for the calculated formation energy: -567 meV per atom.

The structure in CIF format:
```
data_NdDyPd4
_space_group_name_H-M_alt 'P 4/m m m'
_space_group_IT_number 123
_space_group_name_Hall '-P 4 2'
_cell_length_a 3.953
_cell_length_b 3.953
_cell_length_c 8.659
_cell_angle_alpha 90.00
_cell_angle_beta 90.00
_cell_angle_gamma 90.00
loop_
_atom_site_label
_atom_site_fract_x
_atom_site_fract_y
_atom_site_fract_z
Nd1 0.000 0.000 0.000
Dy1 0.500 0.500 0.500
Pd1 0.000 0.500 0.257
```

Density functional theory data (PBE) for a geometry-optimized Nd2DyPd structure.

Values from the calculation:
The calculation puts the energy at -5.0657 eV/atom. As for the calculated formation energy: -233 meV per atom.

The structure in CIF format:
```
data_Nd2DyPd
_space_group_name_H-M_alt 'R 3 m'
_space_group_IT_number 160
_space_group_name_Hall 'R 3 -2"'
_cell_length_a 3.8409
_cell_length_b 3.8409
_cell_length_c 28.8599
_cell_angle_alpha 90.00
_cell_angle_beta 90.00
_cell_angle_gamma 120.00
loop_
_atom_site_label
_atom_site_fract_x
_atom_site_fract_y
_atom_site_fract_z
Nd1 0.0000 0.0000 0.0000
Nd2 0.0000 0.0000 0.2001
Dy1 0.0000 0.0000 0.4332
Pd1 0.0000 0.0000 0.6002
```

Density functional theory data (PBE) for a geometry-optimized NdDy3Pd structure.

Values from the calculation:
The calculation puts the energy at -5.0868 eV/atom. As for the calculated formation energy: -333 meV per atom.

The structure in CIF format:
```
data_NdDy3Pd
_space_group_name_H-M_alt 'C 1 2/m 1'
_space_group_IT_number 12
_space_group_name_Hall '-C 2y'
_cell_length_a 13.443
_cell_length_b 3.704
_cell_length_c 11.836
_cell_angle_alpha 90.00
_cell_angle_beta 94.77
_cell_angle_gamma 90.00
loop_
_atom_site_label
_atom_site_fract_x
_atom_site_fract_y
_atom_site_fract_z
Nd1 0.165 0.000 0.406
Dy1 0.038 0.000 0.144
Dy2 0.073 0.500 0.641
Dy3 0.231 0.000 0.855
Pd1 0.105 0.500 0.964
```

Density functional theory data (PBE) for a geometry-optimized NdDyPd4 structure.

Values from the calculation:
The calculation puts the energy at -5.8107 eV/atom. As for the calculated formation energy: -787 meV per atom.

The structure in CIF format:
```
data_NdDyPd4
_space_group_name_H-M_alt 'F -4 3 m'
_space_group_IT_number 216
_space_group_name_Hall 'F -4 2 3'
_cell_length_a 7.760
_cell_length_b 7.760
_cell_length_c 7.760
_cell_angle_alpha 90.00
_cell_angle_beta 90.00
_cell_angle_gamma 90.00
loop_
_atom_site_label
_atom_site_fract_x
_atom_site_fract_y
_atom_site_fract_z
Nd1 0.000 0.000 0.000
Dy1 0.250 0.250 0.750
Pd1 0.125 0.125 0.375
```

Density functional theory data (PBE) for a geometry-optimized Nd2Dy3Pd2 structure.

Values from the calculation:
The calculation puts the energy at -5.3314 eV/atom. As for the calculated formation energy: -513 meV per atom.

The structure in CIF format:
```
data_Nd2Dy3Pd2
_space_group_name_H-M_alt 'C 1 2/m 1'
_space_group_IT_number 12
_space_group_name_Hall '-C 2y'
_cell_length_a 12.643
_cell_length_b 3.748
_cell_length_c 9.174
_cell_angle_alpha 90.00
_cell_angle_beta 117.61
_cell_angle_gamma 90.00
loop_
_atom_site_label
_atom_site_fract_x
_atom_site_fract_y
_atom_site_fract_z
Nd1 0.154 0.000 0.313
Dy1 0.000 0.500 0.500
Dy2 0.115 0.500 0.942
Pd1 0.164 0.000 0.739
```

Density functional theory data (PBE) for a geometry-optimized NdDyPd4 structure.

Values from the calculation:
The calculation puts the energy at -5.8757 eV/atom. As for the calculated formation energy: -852 meV per atom.

The structure in CIF format:
```
data_NdDyPd4
_space_group_name_H-M_alt 'C m c m'
_space_group_IT_number 63
_space_group_name_Hall '-C 2c 2'
_cell_length_a 4.232
_cell_length_b 19.754
_cell_length_c 5.800
_cell_angle_alpha 90.00
_cell_angle_beta 90.00
_cell_angle_gamma 90.00
loop_
_atom_site_label
_atom_site_fract_x
_atom_site_fract_y
_atom_site_fract_z
Nd1 0.000 0.223 0.250
Dy1 0.000 0.076 0.750
Pd1 0.000 0.072 0.250
Pd2 0.000 0.355 0.508
Pd3 0.000 0.500 0.000
```

Density functional theory data (PBE) for a geometry-optimized NdDy2Pd structure.

Values from the calculation:
The calculation puts the energy at -5.1064 eV/atom. As for the calculated formation energy: -315 meV per atom.

The structure in CIF format:
```
data_NdDy2Pd
_space_group_name_H-M_alt 'R 3 m'
_space_group_IT_number 160
_space_group_name_Hall 'R 3 -2"'
_cell_length_a 3.8825
_cell_length_b 3.8825
_cell_length_c 27.6582
_cell_angle_alpha 90.00
_cell_angle_beta 90.00
_cell_angle_gamma 120.00
loop_
_atom_site_label
_atom_site_fract_x
_atom_site_fract_y
_atom_site_fract_z
Nd1 0.0000 0.0000 0.0000
Dy1 0.0000 0.0000 0.5601
Dy2 0.0000 0.0000 0.7696
Pd1 0.0000 0.0000 0.1644
```

Density functional theory data (PBE) for a geometry-optimized Nd2DyPd structure.

Values from the calculation:
The calculation puts the energy at -5.2345 eV/atom. As for the calculated formation energy: -402 meV per atom.

The structure in CIF format:
```
data_Nd2DyPd
_space_group_name_H-M_alt 'C m c m'
_space_group_IT_number 63
_space_group_name_Hall '-C 2c 2'
_cell_length_a 3.873
_cell_length_b 12.134
_cell_length_c 9.907
_cell_angle_alpha 90.00
_cell_angle_beta 90.00
_cell_angle_gamma 90.00
loop_
_atom_site_label
_atom_site_fract_x
_atom_site_fract_y
_atom_site_fract_z
Nd1 0.000 0.135 0.060
Dy1 0.000 0.425 0.250
Pd1 0.000 0.263 0.750
```

Density functional theory data (PBE) for a geometry-optimized NdDy2Pd9 structure.

Values from the calculation:
The calculation puts the energy at -5.8954 eV/atom. As for the calculated formation energy: -836 meV per atom.

The structure in CIF format:
```
data_NdDy2Pd9
_space_group_name_H-M_alt 'P 4/m m m'
_space_group_IT_number 123
_space_group_name_Hall '-P 4 2'
_cell_length_a 4.156
_cell_length_b 4.156
_cell_length_c 12.416
_cell_angle_alpha 90.00
_cell_angle_beta 90.00
_cell_angle_gamma 90.00
loop_
_atom_site_label
_atom_site_fract_x
_atom_site_fract_y
_atom_site_fract_z
Nd1 0.000 0.000 0.000
Dy1 0.000 0.000 0.336
Pd1 0.000 0.500 0.172
Pd2 0.000 0.500 0.500
Pd3 0.500 0.500 0.000
Pd4 0.500 0.500 0.335
```

Density functional theory data (PBE) for a geometry-optimized NdDy6Pd3 structure.

Values from the calculation:
The calculation puts the energy at -5.2935 eV/atom. As for the calculated formation energy: -498 meV per atom.

The structure in CIF format:
```
data_NdDy6Pd3
_space_group_name_H-M_alt 'C m c 21'
_space_group_IT_number 36
_space_group_name_Hall 'C 2c -2'
_cell_length_a 11.458
_cell_length_b 13.194
_cell_length_c 7.233
_cell_angle_alpha 90.00
_cell_angle_beta 90.00
_cell_angle_gamma 90.00
loop_
_atom_site_label
_atom_site_fract_x
_atom_site_fract_y
_atom_site_fract_z
Nd1 0.000 0.185 0.000
Dy1 0.000 0.268 0.518
Dy2 0.000 0.468 0.874
Dy3 0.170 0.040 0.369
Dy4 0.227 0.308 0.217
Pd1 0.000 0.073 0.659
Pd2 0.187 0.398 0.583
```

Density functional theory data (PBE) for a geometry-optimized NdDy3Pd2 structure.

Values from the calculation:
The calculation puts the energy at -5.4274 eV/atom. As for the calculated formation energy: -601 meV per atom.

The structure in CIF format:
```
data_NdDy3Pd2
_space_group_name_H-M_alt 'P m c 21'
_space_group_IT_number 26
_space_group_name_Hall 'P 2c -2'
_cell_length_a 4.924
_cell_length_b 8.818
_cell_length_c 7.171
_cell_angle_alpha 90.00
_cell_angle_beta 90.00
_cell_angle_gamma 90.00
loop_
_atom_site_label
_atom_site_fract_x
_atom_site_fract_y
_atom_site_fract_z
Nd1 0.000 0.080 0.000
Dy1 0.000 0.334 0.629
Dy2 0.500 0.171 0.341
Dy3 0.500 0.424 0.969
Pd1 0.000 0.348 0.231
Pd2 0.500 0.163 0.739
```

Density functional theory data (PBE) for a geometry-optimized NdDyPd structure.

Values from the calculation:
The calculation puts the energy at -5.3906 eV/atom. As for the calculated formation energy: -536 meV per atom.

The structure in CIF format:
```
data_NdDyPd
_space_group_name_H-M_alt 'P n m a'
_space_group_IT_number 62
_space_group_name_Hall '-P 2ac 2n'
_cell_length_a 8.511
_cell_length_b 3.811
_cell_length_c 10.184
_cell_angle_alpha 90.00
_cell_angle_beta 90.00
_cell_angle_gamma 90.00
loop_
_atom_site_label
_atom_site_fract_x
_atom_site_fract_y
_atom_site_fract_z
Nd1 0.171 0.250 0.030
Dy1 0.007 0.250 0.693
Pd1 0.234 0.750 0.814
```

Density functional theory data (PBE) for a geometry-optimized NdDyPd6 structure.

Values from the calculation:
The calculation puts the energy at -5.8841 eV/atom. As for the calculated formation energy: -818 meV per atom.

The structure in CIF format:
```
data_NdDyPd6
_space_group_name_H-M_alt 'P 4/m m m'
_space_group_IT_number 123
_space_group_name_Hall '-P 4 2'
_cell_length_a 4.171
_cell_length_b 4.171
_cell_length_c 8.300
_cell_angle_alpha 90.00
_cell_angle_beta 90.00
_cell_angle_gamma 90.00
loop_
_atom_site_label
_atom_site_fract_x
_atom_site_fract_y
_atom_site_fract_z
Nd1 0.000 0.000 0.000
Dy1 0.000 0.000 0.500
Pd1 0.000 0.500 0.256
Pd2 0.500 0.500 0.000
Pd3 0.500 0.500 0.500
```

Density functional theory data (PBE) for a geometry-optimized NdDy2Pd structure.

Values from the calculation:
The calculation puts the energy at -4.8922 eV/atom. As for the calculated formation energy: -101 meV per atom.

The structure in CIF format:
```
data_NdDy2Pd
_space_group_name_H-M_alt 'F m -3 m'
_space_group_IT_number 225
_space_group_name_Hall '-F 4 2 3'
_cell_length_a 7.430
_cell_length_b 7.430
_cell_length_c 7.430
_cell_angle_alpha 90.00
_cell_angle_beta 90.00
_cell_angle_gamma 90.00
loop_
_atom_site_label
_atom_site_fract_x
_atom_site_fract_y
_atom_site_fract_z
Nd1 0.000 0.000 0.000
Dy1 0.250 0.250 0.250
Pd1 0.000 0.000 0.500
```

Density functional theory data (PBE) for a geometry-optimized Nd2DyPd structure.

Values from the calculation:
The calculation puts the energy at -5.2171 eV/atom. As for the calculated formation energy: -384 meV per atom.

The structure in CIF format:
```
data_Nd2DyPd
_space_group_name_H-M_alt 'C 1 m 1'
_space_group_IT_number 8
_space_group_name_Hall 'C -2y'
_cell_length_a 5.115
_cell_length_b 5.136
_cell_length_c 8.746
_cell_angle_alpha 90.00
_cell_angle_beta 90.08
_cell_angle_gamma 90.00
loop_
_atom_site_label
_atom_site_fract_x
_atom_site_fract_y
_atom_site_fract_z
Nd1 0.000 0.000 0.000
Nd2 0.001 0.500 0.306
Dy1 0.499 0.000 0.696
Pd1 0.499 0.500 0.523
```

Density functional theory data (PBE) for a geometry-optimized NdDyPd structure.

Values from the calculation:
The calculation puts the energy at -5.2364 eV/atom. As for the calculated formation energy: -382 meV per atom.

The structure in CIF format:
```
data_NdDyPd
_space_group_name_H-M_alt 'P 3 m 1'
_space_group_IT_number 156
_space_group_name_Hall 'P 3 -2"'
_cell_length_a 4.8018
_cell_length_b 4.8018
_cell_length_c 3.9878
_cell_angle_alpha 90.00
_cell_angle_beta 90.00
_cell_angle_gamma 120.00
loop_
_atom_site_label
_atom_site_fract_x
_atom_site_fract_y
_atom_site_fract_z
Nd1 0.0000 0.0000 0.0000
Dy1 0.3333 0.6667 0.5332
Pd1 0.6667 0.3333 0.3452
```

Density functional theory data (PBE) for a geometry-optimized NdDy3Pd structure.

Values from the calculation:
The calculation puts the energy at -5.0204 eV/atom. As for the calculated formation energy: -267 meV per atom.

The structure in CIF format:
```
data_NdDy3Pd
_space_group_name_H-M_alt 'C 1 2/m 1'
_space_group_IT_number 12
_space_group_name_Hall '-C 2y'
_cell_length_a 11.687
_cell_length_b 8.418
_cell_length_c 7.912
_cell_angle_alpha 90.00
_cell_angle_beta 127.63
_cell_angle_gamma 90.00
loop_
_atom_site_label
_atom_site_fract_x
_atom_site_fract_y
_atom_site_fract_z
Nd1 0.042 0.000 0.308
Dy1 0.074 0.500 0.272
Dy2 0.200 0.299 0.735
Pd1 0.224 0.500 0.073
```

Density functional theory data (PBE) for a geometry-optimized NdDyPd3 structure.

Values from the calculation:
The calculation puts the energy at -5.7893 eV/atom. As for the calculated formation energy: -800 meV per atom.

The structure in CIF format:
```
data_NdDyPd3
_space_group_name_H-M_alt 'P 1 21/c 1'
_space_group_IT_number 14
_space_group_name_Hall '-P 2ybc'
_cell_length_a 9.152
_cell_length_b 5.857
_cell_length_c 8.344
_cell_angle_alpha 90.00
_cell_angle_beta 101.36
_cell_angle_gamma 90.00
loop_
_atom_site_label
_atom_site_fract_x
_atom_site_fract_y
_atom_site_fract_z
Nd1 0.114 0.089 0.222
Dy1 0.441 0.725 0.623
Pd1 0.115 0.659 0.035
Pd2 0.253 0.539 0.344
Pd3 0.343 0.197 0.575
```

Density functional theory data (PBE) for a geometry-optimized Nd2DyPd3 structure.

Values from the calculation:
The calculation puts the energy at -5.6453 eV/atom. As for the calculated formation energy: -693 meV per atom.

The structure in CIF format:
```
data_Nd2DyPd3
_space_group_name_H-M_alt 'C 1 2/c 1'
_space_group_IT_number 15
_space_group_name_Hall '-C 2yc'
_cell_length_a 13.152
_cell_length_b 5.895
_cell_length_c 8.347
_cell_angle_alpha 90.00
_cell_angle_beta 108.53
_cell_angle_gamma 90.00
loop_
_atom_site_label
_atom_site_fract_x
_atom_site_fract_y
_atom_site_fract_z
Nd1 0.168 0.002 0.084
Dy1 0.000 0.491 0.250
Pd1 0.000 0.009 0.750
Pd2 0.160 0.498 0.580
```

Density functional theory data (PBE) for a geometry-optimized NdDyPdPt structure.

Values from the calculation:
The calculation puts the energy at -6.1919 eV/atom. As for the calculated formation energy: -1041 meV per atom.

The structure in CIF format:
```
data_NdDyPdPt
_space_group_name_H-M_alt 'A m m 2'
_space_group_IT_number 38
_space_group_name_Hall 'A 2 -2'
_cell_length_a 4.536
_cell_length_b 3.836
_cell_length_c 10.756
_cell_angle_alpha 90.00
_cell_angle_beta 90.00
_cell_angle_gamma 90.00
loop_
_atom_site_label
_atom_site_fract_x
_atom_site_fract_y
_atom_site_fract_z
Nd1 0.000 0.000 0.000
Dy1 0.500 0.000 0.274
Pd1 0.500 0.000 0.553
Pt1 0.000 0.000 0.726
```